No. 1
# NpAlBO5, relaxed, DFT PBE
# Space group: C2/c, No. 15
# Formation energy (no corrections): -2.734 eV per atom
# Density of states at the Fermi level: 6.09 states/eV/f.u.
data_NpAlBO5
_chemical_formula_sum 'Np2 Al2 B2 O10'
_cell_length_a 5.232
_cell_length_b 5.232
_cell_length_c 6.536
_cell_angle_alpha 102.46
_cell_angle_beta 102.46
_cell_angle_gamma 106.00
_space_group_name_H-M_alt 'P 1'
_space_group_IT_number 1
loop_
_space_group_symop_operation_xyz
'x,y,z'
loop_
_atom_site_label
_atom_site_type_symbol
_atom_site_fract_x
_atom_site_fract_y
_atom_site_fract_z
O1 O 0.408 0.258 0.086
O2 O 0.892 0.317 0.123
O3 O 0.592 0.742 0.914
O4 O 0.317 0.892 0.623
O5 O 0.108 0.683 0.877
O6 O 0.920 0.080 0.750
O7 O 0.258 0.408 0.586
O8 O 0.683 0.108 0.377
O9 O 0.742 0.592 0.414
O10 O 0.080 0.920 0.250
Al1 Al 0.000 0.000 0.000
Al2 Al 0.000 0.000 0.500
B1 B 0.316 0.684 0.750
B2 B 0.684 0.316 0.250
Np1 Np 0.662 0.338 0.750
Np2 Np 0.338 0.662 0.250



No. 2
# TaBeIn3, relaxed, DFT PBE
# Space group: Pm-3m, No. 221
# Density of states at the Fermi level: 4.21 states/eV/f.u.
# E_tot: -18.87 eV/f.u.
data_TaBeIn3
_chemical_formula_sum 'Ta1 Be1 In3'
_cell_length_a 4.764
_cell_length_b 4.764
_cell_length_c 4.764
_cell_angle_alpha 90.00
_cell_angle_beta 90.00
_cell_angle_gamma 90.00
_space_group_name_H-M_alt 'P 1'
_space_group_IT_number 1
loop_
_space_group_symop_operation_xyz
'x,y,z'
loop_
_atom_site_label
_atom_site_type_symbol
_atom_site_fract_x
_atom_site_fract_y
_atom_site_fract_z
In1 In 0.000 0.500 0.000
In2 In 0.500 0.000 0.000
In3 In 0.000 0.000 0.500
Be1 Be 0.000 0.000 0.000
Ta1 Ta 0.500 0.500 0.500



No. 3
# Pr2MgS4, relaxed, DFT PBE
# Space group: I-42d, No. 122
# Formation energy (no corrections): -1.794 eV per atom
# Density of states at the Fermi level: 0.00 states/eV/f.u.
data_Pr2MgS4
_chemical_formula_sum 'Pr4 Mg2 S8'
_cell_length_a 7.414
_cell_length_b 7.414
_cell_length_c 7.414
_cell_angle_alpha 111.08
_cell_angle_beta 111.08
_cell_angle_gamma 106.30
_space_group_name_H-M_alt 'P 1'
_space_group_IT_number 1
loop_
_space_group_symop_operation_xyz
'x,y,z'
loop_
_atom_site_label
_atom_site_type_symbol
_atom_site_fract_x
_atom_site_fract_y
_atom_site_fract_z
S1 S 0.989 0.358 0.231
S2 S 0.508 0.377 0.269
S3 S 0.242 0.011 0.369
S4 S 0.127 0.758 0.769
S5 S 0.623 0.892 0.131
S6 S 0.642 0.873 0.631
S7 S 0.761 0.492 0.869
S8 S 0.108 0.239 0.731
Pr1 Pr 0.244 0.625 0.119
Pr2 Pr 0.875 0.756 0.381
Pr3 Pr 0.375 0.494 0.619
Pr4 Pr 0.506 0.125 0.881
Mg1 Mg 0.000 0.000 0.000
Mg2 Mg 0.750 0.250 0.500



No. 4
# Er8Tm6In, relaxed, DFT PBE
# Space group: P-3, No. 147
# Density of states at the Fermi level: 18.91 states/eV/f.u.
# E_tot: -64.60 eV/f.u.
data_Er8Tm6In
_chemical_formula_sum 'Er8 Tm6 In1'
_cell_length_a 6.227
_cell_length_b 9.233
_cell_length_c 9.233
_cell_angle_alpha 120.00
_cell_angle_beta 90.00
_cell_angle_gamma 90.00
_space_group_name_H-M_alt 'P 1'
_space_group_IT_number 1
loop_
_space_group_symop_operation_xyz
'x,y,z'
loop_
_atom_site_label
_atom_site_type_symbol
_atom_site_fract_x
_atom_site_fract_y
_atom_site_fract_z
Er1 Er 0.186 0.772 0.041
Er2 Er 0.814 0.041 0.269
Er3 Er 0.186 0.959 0.731
Er4 Er 0.814 0.731 0.772
Er5 Er 0.810 0.333 0.667
Er6 Er 0.190 0.667 0.333
Er7 Er 0.186 0.269 0.228
Er8 Er 0.814 0.228 0.959
Tm1 Tm 0.318 0.547 0.641
Tm2 Tm 0.318 0.094 0.453
Tm3 Tm 0.682 0.641 0.094
Tm4 Tm 0.682 0.453 0.359
Tm5 Tm 0.682 0.906 0.547
Tm6 Tm 0.318 0.359 0.906
In1 In 0.500 0.000 0.000



No. 5
# Rb2AlGaS4, relaxed, DFT PBE
# Space group: Fddd, No. 70
# Formation energy (no corrections): -1.164 eV per atom
# Density of states at the Fermi level: 0.00 states/eV/f.u.
data_Rb2AlGaS4
_chemical_formula_sum 'Rb4 Al2 Ga2 S8'
_cell_length_a 5.844
_cell_length_b 7.513
_cell_length_c 12.275
_cell_angle_alpha 84.69
_cell_angle_beta 76.23
_cell_angle_gamma 67.11
_space_group_name_H-M_alt 'P 1'
_space_group_IT_number 1
loop_
_space_group_symop_operation_xyz
'x,y,z'
loop_
_atom_site_label
_atom_site_type_symbol
_atom_site_fract_x
_atom_site_fract_y
_atom_site_fract_z
S1 S 0.465 0.684 0.398
S2 S 0.204 0.184 0.898
S3 S 0.898 0.816 0.898
S4 S 0.285 0.816 0.102
S5 S 0.852 0.684 0.602
S6 S 0.138 0.316 0.398
S7 S 0.612 0.184 0.102
S8 S 0.546 0.316 0.602
Rb1 Rb 0.929 0.500 0.142
Rb2 Rb 0.179 0.000 0.642
Rb3 Rb 0.821 0.000 0.358
Rb4 Rb 0.571 0.500 0.858
Al1 Al 0.000 0.000 0.000
Al2 Al 0.750 0.500 0.500
Ga1 Ga 0.250 0.500 0.500
Ga2 Ga 0.500 0.000 0.000



No. 6
# Hf2TiPb2, relaxed, DFT PBE
# Space group: Cmc2_1, No. 36
# Density of states at the Fermi level: 5.37 states/eV/f.u.
# E_tot: -34.97 eV/f.u.
data_Hf2TiPb2
_chemical_formula_sum 'Hf4 Ti2 Pb4'
_cell_length_a 4.753
_cell_length_b 5.931
_cell_length_c 8.348
_cell_angle_alpha 90.00
_cell_angle_beta 106.54
_cell_angle_gamma 90.00
_space_group_name_H-M_alt 'P 1'
_space_group_IT_number 1
loop_
_space_group_symop_operation_xyz
'x,y,z'
loop_
_atom_site_label
_atom_site_type_symbol
_atom_site_fract_x
_atom_site_fract_y
_atom_site_fract_z
Ti1 Ti 0.474 0.915 0.948
Ti2 Ti 0.526 0.415 0.052
Hf1 Hf 0.338 0.466 0.676
Hf2 Hf 0.125 0.647 0.250
Hf3 Hf 0.875 0.147 0.750
Hf4 Hf 0.662 0.966 0.324
Pb1 Pb 0.936 0.643 0.872
Pb2 Pb 0.284 0.963 0.568
Pb3 Pb 0.716 0.463 0.432
Pb4 Pb 0.064 0.143 0.128